Entry 1:
Density functional theory data (SCAN) for a crystal of SnTe2PdBr relaxed with PBEsol.

Computed properties:
Formation energy without anion corrections: 1074.5 meV per atom
Theoretical density: 5.9 g/cm3
Size of the total moment: 0.00 μB/f.u.
Final energy: -31.457 eV per atom

Lattice parameters (Å, degrees): 5.3919 5.3919 5.4201 90.00 90.00 90.00
Closest atoms and distances in Å follow each position.
Space group P4/mmm (No. 123)
Inequivalent atoms, fractional coordinates:
Sn 0.0000 0.0000 0.0000 x1  2 Br 2.71
Te 0.0000 0.5000 0.5000 x2  2 Br 2.70
Pd 0.5000 0.5000 0.0000 x1  4 Sn 3.81, 8 Te 3.82
Br 0.0000 0.0000 0.5000 x1  4 Te 2.70, 2 Sn 2.71

---

Entry 2:
Density functional theory data (SCAN) for a crystal of SnPdW2Br relaxed with PBEsol.

Computed properties:
Formation energy without anion corrections: 2111.6 meV per atom
Theoretical density: 9.9 g/cm3
Size of the total moment: 2.13 μB/f.u.
Final energy: -43.395 eV per atom

Lattice parameters (Å, degrees): 4.8667 4.8667 4.7804 90.00 90.00 90.00
Closest atoms and distances in Å follow each position.
Space group P4/mmm (No. 123)
Inequivalent atoms, fractional coordinates:
Sn 0.0000 0.0000 0.0000 x1  8 W 3.41, 4 Br 3.44
Pd 0.5000 0.5000 0.5000 x1  2 Br 2.39, 4 W 2.43
W 0.0000 0.5000 0.5000 x2  2 Pd 2.43
Br 0.5000 0.5000 0.0000 x1  2 Pd 2.39

---

Entry 3:
Density functional theory data (SCAN) for a crystal of Te2PdBr relaxed with PBEsol.

Computed properties:
Formation energy without anion corrections: -342.5 meV per atom
Theoretical density: 6.2 g/cm3
Size of the total moment: 0.00 μB/f.u.
Final energy: -32.026 eV per atom

Lattice parameters (Å, degrees): 4.0814 4.0814 24.6482 90.00 90.00 120.00
Closest atoms and distances in Å follow each position.
Space group R-3m (No. 166, hexagonal axes)
Inequivalent atoms, fractional coordinates:
Te 0.0000 0.0000 0.1140 x6  3 Pd 2.69, 1 Br 2.81
Pd 0.0000 0.0000 0.5000 x3  6 Te 2.69
Br 0.0000 0.0000 0.0000 x3  2 Te 2.81

---

Entry 4:
Density functional theory data (SCAN) for a crystal of Tl3PdBr relaxed with PBEsol.

Computed properties:
Formation energy without anion corrections: -428.9 meV per atom
Theoretical density: 9.1 g/cm3
Size of the total moment: 0.00 μB/f.u.
Final energy: -54.291 eV per atom

Lattice parameters (Å, degrees): 5.2644 5.2644 5.2644 90.00 90.00 90.00
Closest atoms and distances in Å follow each position.
Space group Pm-3m (No. 221)
Inequivalent atoms, fractional coordinates:
Tl 0.0000 0.0000 0.5000 x3  2 Pd 2.63
Pd 0.0000 0.0000 0.0000 x1  6 Tl 2.63
Br 0.5000 0.5000 0.5000 x1  12 Tl 3.72

---

Entry 5:
Density functional theory data (SCAN) for a crystal of Tl2Pd2Br relaxed with PBEsol.

Computed properties:
Formation energy without anion corrections: -135.5 meV per atom
Theoretical density: 10.1 g/cm3
Size of the total moment: 0.00 μB/f.u.
Final energy: -46.080 eV per atom

Lattice parameters (Å, degrees): 3.7798 3.7798 16.0860 90.00 90.00 90.00
Closest atoms and distances in Å follow each position.
Space group I4/mmm (No. 139)
Inequivalent atoms, fractional coordinates:
Tl 0.0000 0.0000 0.1183 x4  4 Pd 2.84
Pd 0.0000 0.5000 0.2500 x4  4 Pd 2.67, 4 Tl 2.84
Br 0.0000 0.0000 0.5000 x2  8 Tl 3.28

---

Entry 6:
Density functional theory data (SCAN) for a crystal of YPdBr3 relaxed with PBEsol.

Computed properties:
Formation energy without anion corrections: -906.9 meV per atom
Theoretical density: 4.5 g/cm3
Size of the total moment: 0.18 μB/f.u.
Final energy: -24.706 eV per atom

Lattice parameters (Å, degrees): 5.4251 5.4251 5.4251 90.00 90.00 90.00
Closest atoms and distances in Å follow each position.
Space group Pm-3m (No. 221)
Inequivalent atoms, fractional coordinates:
Y 0.0000 0.0000 0.0000 x1  6 Br 2.71
Pd 0.5000 0.5000 0.5000 x1  12 Br 3.84
Br 0.0000 0.0000 0.5000 x3  2 Y 2.71

---

Entry 7:
Density functional theory data (SCAN) for a crystal of Zr2PdBr relaxed with PBEsol.

Computed properties:
Formation energy without anion corrections: -340.5 meV per atom
Theoretical density: 8.2 g/cm3
Size of the total moment: 0.00 μB/f.u.
Final energy: -28.748 eV per atom

Lattice parameters (Å, degrees): 6.6788 6.6788 6.6788 90.00 90.00 90.00
Closest atoms and distances in Å follow each position.
Space group Fm-3m (No. 225)
Inequivalent atoms, fractional coordinates:
Zr 0.2500 0.2500 0.2500 x8  4 Br 2.89, 4 Pd 2.89
Pd 0.0000 0.0000 0.0000 x4  8 Zr 2.89
Br 0.0000 0.0000 0.5000 x4  8 Zr 2.89

---

Entry 8:
Density functional theory data (SCAN) for a crystal of ZrPdBr3 relaxed with PBEsol.

Computed properties:
Formation energy without anion corrections: -1.6 meV per atom
Theoretical density: 5.8 g/cm3
Size of the total moment: 2.23 μB/f.u.
Final energy: -24.372 eV per atom

Lattice parameters (Å, degrees): 5.0057 5.0057 5.0057 90.00 90.00 90.00
Closest atoms and distances in Å follow each position.
Space group Pm-3m (No. 221)
Inequivalent atoms, fractional coordinates:
Zr 0.0000 0.0000 0.0000 x1  12 Br 3.54
Pd 0.5000 0.5000 0.5000 x1  6 Br 2.50
Br 0.0000 0.5000 0.5000 x3  2 Pd 2.50

---

Entry 9:
Density functional theory data (SCAN) for a crystal of PmBr3 relaxed with PBEsol.

Computed properties:
Formation energy without anion corrections: -2017.4 meV per atom
Theoretical density: 3.9 g/cm3
Size of the total moment: 0.00 μB/f.u.
Final energy: -27.608 eV per atom

Lattice parameters (Å, degrees): 9.9748 9.9748 3.8187 90.00 90.00 120.00
Closest atoms and distances in Å follow each position.
Space group P6_3/mmc (No. 194)
Inequivalent atoms, fractional coordinates:
Pm 0.3333 0.6667 0.2500 x2  6 Br 2.86
Br 0.2098 0.4195 0.7500 x6  2 Pm 2.86

---

Entry 10:
Density functional theory data (SCAN) for a crystal of PmBr2 relaxed with PBEsol.

Computed properties:
Formation energy without anion corrections: -1787.3 meV per atom
Theoretical density: 5.1 g/cm3
Size of the total moment: 0.06 μB/f.u.
Final energy: -29.422 eV per atom

Lattice parameters (Å, degrees): 7.3424 7.3424 3.6668 90.00 90.00 90.00
Closest atoms and distances in Å follow each position.
Space group P4_2/mnm (No. 136)
Inequivalent atoms, fractional coordinates:
Pm 0.0000 0.0000 0.0000 x2  6 Br 2.92
Br 0.2192 0.2192 0.5000 x4  3 Pm 2.92

---

Entry 11:
Density functional theory data (SCAN) for a crystal of Pr2Br5 relaxed with PBEsol.

Computed properties:
Formation energy without anion corrections: -2060.8 meV per atom
Theoretical density: 5.3 g/cm3
Size of the total moment: 1.00 μB/f.u.
Final energy: -28.339 eV per atom

Lattice parameters (Å, degrees): 7.7752 4.1261 13.3060 90.00 90.63 90.00
Closest atoms and distances in Å follow each position.
Space group P2_1/m (No. 11)
Inequivalent atoms, fractional coordinates:
Pr 0.0726 0.2500 0.3392 x2  7 Br 2.99-3.10
Pr 0.4255 0.7500 0.1582 x2  7 Br 2.95-3.08
Br 0.0448 0.7500 0.1774 x2  3 Pr 2.97-2.99
Br 0.1532 0.2500 0.5677 x2  3 Pr 2.99-3.10
Br 0.3070 0.2500 0.0104 x2  3 Pr 2.99-3.08
Br 0.3299 0.7500 0.7706 x2  2 Pr 2.95
Br 0.3467 0.7500 0.3777 x2  3 Pr 2.99-3.01

---

Entry 12:
Density functional theory data (SCAN) for a crystal of PtBr5 relaxed with PBEsol.

Computed properties:
Formation energy without anion corrections: 43.3 meV per atom
Theoretical density: 5.7 g/cm3
Size of the total moment: 0.00 μB/f.u.
Final energy: -27.872 eV per atom

Lattice parameters (Å, degrees): 3.6291 12.8648 7.4659 90.00 90.00 90.00
Closest atoms and distances in Å follow each position.
Space group Cmmm (No. 65)
Inequivalent atoms, fractional coordinates:
Pt 0.0000 0.0000 0.0000 x2  4 Br 2.43
Br 0.0000 0.1663 0.5000 x4  4 Br 2.81-2.82
Br 0.0000 0.3746 0.0000 x4  2 Pt 2.43
Br 0.0000 0.5000 0.5000 x2  4 Br 2.81

---

Q: theoretical density of number 6 (YPdBr3)?
A: 4.5 g/cm3